A plane-wave DFT calculation with GGA-PBE was carried out for a relaxed structure of Ac2TaAgO6.

Unit cell a=5.6253 b=5.6253 c=5.3888 alpha=90.00 beta=90.00 gamma=90.00
Closest atoms and distances in Å follow each position.
Space group P4mm (No. 99)
Asymmetric unit:
Ac 0.0000 0.5000 0.0000 [2 per cell]  4 O 2.48
Ta 0.0000 0.0000 0.5922 [1 per cell]  5 O 1.92-1.95
Ag 0.5000 0.5000 0.4998 [1 per cell]  1 O 2.14
O 0.0000 0.0000 0.2365 [1 per cell]  1 Ta 1.92
O 0.2276 0.2276 0.7267 [4 per cell]  1 Ta 1.95
O 0.5000 0.5000 0.1027 [1 per cell]  1 Ag 2.14

Results
Total energy = -78.89 eV for the cell shown